# RbBa2Hg2, optimized geometry, DFT PBEsol
data_RbBa2Hg2
_cell_length_a 9.6301
_cell_length_b 9.6301
_cell_length_c 4.3475
_cell_angle_alpha 90.00
_cell_angle_beta 90.00
_cell_angle_gamma 90.00
_space_group_name_H-M_alt 'P 4/m b m'
_space_group_IT_number 127
_space_group_name_Hall '-P 4 2ab'
loop_
_atom_site_label
_atom_site_fract_x
_atom_site_fract_y
_atom_site_fract_z
Rb1 0.0000 0.0000 0.0000
Ba1 0.1478 0.3522 0.5000
Hg1 0.1398 0.6398 0.0000
# energy of formation	-340	meV per atom
# E	-1.63	eV per atom

# SbRu3O, optimized geometry, DFT PBEsol
data_SbRu3O
_cell_length_a 4.0824
_cell_length_b 4.0824
_cell_length_c 4.0824
_cell_angle_alpha 90.00
_cell_angle_beta 90.00
_cell_angle_gamma 90.00
_space_group_name_H-M_alt 'P m -3 m'
_space_group_IT_number 221
_space_group_name_Hall '-P 4 2 3'
loop_
_atom_site_label
_atom_site_fract_x
_atom_site_fract_y
_atom_site_fract_z
Sb1 0.0000 0.0000 0.0000
Ru1 0.0000 0.5000 0.5000
O1 0.5000 0.5000 0.5000
# E	-7.80	eV per atom
# uncorrected formation energy	1.33	eV/f.u.

# SrIn2As, optimized geometry, DFT PBEsol
data_SrIn2As
_cell_length_a 3.7787
_cell_length_b 4.9965
_cell_length_c 10.9904
_cell_angle_alpha 90.00
_cell_angle_beta 90.00
_cell_angle_gamma 90.00
_space_group_name_H-M_alt 'I m m m'
_space_group_IT_number 71
_space_group_name_Hall '-I 2 2'
loop_
_atom_site_label
_atom_site_fract_x
_atom_site_fract_y
_atom_site_fract_z
Sr1 0.0000 0.0000 0.0000
In1 0.0000 0.5000 0.2118
As1 0.0000 0.0000 0.5000
# energy of formation	-455	meV per atom
# E	-3.68	eV per atom

# RbCa2BCl, optimized geometry, DFT PBEsol
data_RbCa2BCl
_cell_length_a 5.0962
_cell_length_b 5.0962
_cell_length_c 6.4421
_cell_angle_alpha 90.00
_cell_angle_beta 90.00
_cell_angle_gamma 90.00
_space_group_name_H-M_alt 'P 4/m m m'
_space_group_IT_number 123
_space_group_name_Hall '-P 4 2'
loop_
_atom_site_label
_atom_site_fract_x
_atom_site_fract_y
_atom_site_fract_z
Rb1 0.0000 0.0000 0.0000
Ca1 0.0000 0.5000 0.5000
B1 0.0000 0.0000 0.5000
Cl1 0.5000 0.5000 0.0000
# E	-2.95	eV per atom
# uncorrected formation energy	-0.43	eV/f.u.

# MgNbInTc2, optimized geometry, DFT PBEsol
data_MgNbInTc2
_cell_length_a 4.8180
_cell_length_b 4.8180
_cell_length_c 4.5105
_cell_angle_alpha 90.00
_cell_angle_beta 90.00
_cell_angle_gamma 90.00
_space_group_name_H-M_alt 'P 4/m m m'
_space_group_IT_number 123
_space_group_name_Hall '-P 4 2'
loop_
_atom_site_label
_atom_site_fract_x
_atom_site_fract_y
_atom_site_fract_z
Mg1 0.0000 0.0000 0.0000
Nb1 0.5000 0.5000 0.0000
In1 0.0000 0.0000 0.5000
Tc1 0.0000 0.5000 0.5000
# energy of formation	1954	meV per atom
# E	-5.66	eV per atom

# Zn2BIr2, optimized geometry, DFT PBEsol
data_Zn2BIr2
_cell_length_a 2.8063
_cell_length_b 26.4317
_cell_length_c 10.1507
_cell_angle_alpha 90.00
_cell_angle_beta 90.00
_cell_angle_gamma 90.00
_space_group_name_H-M_alt 'C m c m'
_space_group_IT_number 63
_space_group_name_Hall '-C 2c 2'
loop_
_atom_site_label
_atom_site_fract_x
_atom_site_fract_y
_atom_site_fract_z
Zn1 0.0000 0.0000 0.0000
Zn2 0.0000 0.0890 0.1201
Zn3 0.0000 0.1803 0.2500
Zn4 0.0000 0.2393 0.6108
B1 0.0000 0.0409 0.7500
B2 0.0000 0.1386 0.6065
Ir1 0.0000 0.3282 0.2500
Ir2 0.0000 0.3312 0.5316
Ir3 0.0000 0.4255 0.1083
Ir4 0.0000 0.4802 0.7500
# energy above the lowest structure with this stoichiometry	0.0	meV/atom
# energy of formation	-298	meV per atom
# E	-6.26	eV per atom

# Cd2SiBiOs, optimized geometry, DFT PBEsol
data_Cd2SiBiOs
_cell_length_a 4.7441
_cell_length_b 4.7441
_cell_length_c 5.4137
_cell_angle_alpha 90.00
_cell_angle_beta 90.00
_cell_angle_gamma 90.00
_space_group_name_H-M_alt 'P 4/m m m'
_space_group_IT_number 123
_space_group_name_Hall '-P 4 2'
loop_
_atom_site_label
_atom_site_fract_x
_atom_site_fract_y
_atom_site_fract_z
Cd1 0.0000 0.5000 0.0000
Si1 0.0000 0.0000 0.0000
Bi1 0.0000 0.0000 0.5000
Os1 0.5000 0.5000 0.5000
# E	-3.41	eV per atom
# uncorrected formation energy	7.60	eV/f.u.

# CrReAu2, optimized geometry, DFT PBEsol
data_CrReAu2
_cell_length_a 3.8116
_cell_length_b 3.8116
_cell_length_c 4.1386
_cell_angle_alpha 90.00
_cell_angle_beta 90.00
_cell_angle_gamma 90.00
_space_group_name_H-M_alt 'P 4/m m m'
_space_group_IT_number 123
_space_group_name_Hall '-P 4 2'
loop_
_atom_site_label
_atom_site_fract_x
_atom_site_fract_y
_atom_site_fract_z
Cr1 0.0000 0.0000 0.0000
Re1 0.5000 0.5000 0.0000
Au1 0.0000 0.5000 0.5000
# energy above the lowest structure with this stoichiometry	197.7	meV/atom
# energy of formation	474	meV per atom
# E	-7.38	eV per atom

# La2Tl2Mo, optimized geometry, DFT PBEsol
data_La2Tl2Mo
_cell_length_a 3.9564
_cell_length_b 3.9564
_cell_length_c 18.5889
_cell_angle_alpha 90.00
_cell_angle_beta 90.00
_cell_angle_gamma 90.00
_space_group_name_H-M_alt 'I 4/m m m'
_space_group_IT_number 139
_space_group_name_Hall '-I 4 2'
loop_
_atom_site_label
_atom_site_fract_x
_atom_site_fract_y
_atom_site_fract_z
La1 0.0000 0.0000 0.0861
Tl1 0.0000 0.5000 0.2500
Mo1 0.0000 0.0000 0.5000
# energy of formation	510	meV per atom
# E	-5.03	eV per atom

# YAsWBr2, optimized geometry, DFT PBEsol
data_YAsWBr2
_cell_length_a 4.9903
_cell_length_b 4.9903
_cell_length_c 4.9133
_cell_angle_alpha 90.00
_cell_angle_beta 90.00
_cell_angle_gamma 90.00
_space_group_name_H-M_alt 'P 4/m m m'
_space_group_IT_number 123
_space_group_name_Hall '-P 4 2'
loop_
_atom_site_label
_atom_site_fract_x
_atom_site_fract_y
_atom_site_fract_z
Y1 0.0000 0.0000 0.0000
As1 0.5000 0.5000 0.0000
W1 0.5000 0.5000 0.5000
Br1 0.0000 0.5000 0.5000
# E	-5.64	eV per atom
# uncorrected formation energy	1.28	eV/f.u.

# Sr2CrB, optimized geometry, DFT PBEsol
data_Sr2CrB
_cell_length_a 10.8671
_cell_length_b 10.8671
_cell_length_c 4.1382
_cell_angle_alpha 90.00
_cell_angle_beta 90.00
_cell_angle_gamma 90.00
_space_group_name_H-M_alt 'I -4 2 d'
_space_group_IT_number 122
_space_group_name_Hall 'I -4 2bw'
loop_
_atom_site_label
_atom_site_fract_x
_atom_site_fract_y
_atom_site_fract_z
Sr1 0.0675 0.7500 0.1250
Cr1 0.0000 0.0000 0.5000
B1 0.0000 0.0000 0.0000
# energy of formation	569	meV per atom
# E	-4.67	eV per atom

# BeTe2Mo, optimized geometry, DFT PBEsol
data_BeTe2Mo
_cell_length_a 3.3429
_cell_length_b 3.3429
_cell_length_c 25.2334
_cell_angle_alpha 90.00
_cell_angle_beta 90.00
_cell_angle_gamma 120.00
_space_group_name_H-M_alt 'R -3 m'
_space_group_IT_number 166
_space_group_name_Hall '-R 3 2"'
loop_
_atom_site_label
_atom_site_fract_x
_atom_site_fract_y
_atom_site_fract_z
Be1 0.0000 0.0000 0.0000
Te1 0.0000 0.0000 0.3969
Mo1 0.0000 0.0000 0.5000
# E	-4.95	eV per atom
# uncorrected formation energy	3.01	eV/f.u.